No. 1
First-principles (PBE-GGA) data for TlCuTcNi after structural relaxation, as listed in OQMD via LeMat-Bulk.

It has space group F-43m (No. 216), with a = 6.2576 Å, b = 6.2576 Å, c = 6.2576 Å, α = 90.00°, β = 90.00° and γ = 90.00°. The inequivalent atoms are Tl at (0.0000, 0.0000, 0.0000), Cu at (0.2500, 0.2500, 0.2500), Tc at (0.2500, 0.2500, 0.7500) and Ni at (0.0000, 0.0000, 0.5000).

The calculation puts the volume at 245.0 Å³ per cell. Its offset from the most stable computed form is 69.4 meV/atom. The value obtained for the total magnetization is 8.51 μB per cell. Its total energy is -4.95 eV per atom.

No. 2
First-principles (PBE-GGA) data for Sm2Tc after structural relaxation, as listed in OQMD via LeMat-Bulk.

It has space group Fd-3m (No. 227, origin choice 2), with a = 11.7213 Å, b = 11.7213 Å, c = 11.7213 Å, α = 90.00°, β = 90.00° and γ = 90.00°. The inequivalent atoms are Sm at (0.0000, 0.0000, 0.0000) and Tc at (0.1250, 0.1250, 0.1250).

The calculation puts the volume at 1610.4 Å³ per cell. Its offset from the most stable computed form is 30.9 meV/atom. As for the formation energy: 118.1 kJ/mol of atoms. The value obtained for the total magnetization is 8.03 μB per cell. Its total energy is -5.37 eV per atom.

No. 3
First-principles (PBE-GGA) data for SbPdW after structural relaxation, as listed in OQMD via LeMat-Bulk.

It has space group F-43m (No. 216), with a = 6.2452 Å, b = 6.2452 Å, c = 6.2452 Å, α = 90.00°, β = 90.00° and γ = 90.00°. The inequivalent atoms are Sb at (0.0000, 0.0000, 0.0000), Pd at (0.2500, 0.2500, 0.7500) and W at (0.2500, 0.2500, 0.2500).

The calculation puts the volume at 243.6 Å³ per cell. The value obtained for the total magnetization is 0.11 μB per cell. Its total energy is -6.80 eV per atom.

No. 4
First-principles (PBE-GGA) data for DyUSb after structural relaxation, as listed in OQMD via LeMat-Bulk.

It has space group F-43m (No. 216), with a = 7.2733 Å, b = 7.2733 Å, c = 7.2733 Å, α = 90.00°, β = 90.00° and γ = 90.00°. The inequivalent atoms are Dy at (0.0000, 0.0000, 0.0000), U at (0.2500, 0.2500, 0.2500) and Sb at (0.2500, 0.2500, 0.7500).

The calculation puts the volume at 384.8 Å³ per cell. The value obtained for the total magnetization is 21.58 μB per cell. Its total energy is -6.07 eV per atom.

No. 5
First-principles (PBE-GGA) data for CsHoB4 after structural relaxation, as listed in OQMD via LeMat-Bulk.

It has space group Immm (No. 71), with a = 3.1997 Å, b = 5.5304 Å, c = 9.4593 Å, α = 90.00°, β = 90.00° and γ = 90.00°. The inequivalent atoms are Cs at (0.0000, 0.0000, 0.0000), Ho at (0.0000, 0.0000, 0.5000) and B at (0.0000, 0.3369, 0.2435).

The calculation puts the volume at 167.4 Å³ per cell. Its offset from the most stable computed form is 455.4 meV/atom. The value obtained for the total magnetization is 0.02 μB per cell. Its total energy is -4.77 eV per atom.

No. 6
First-principles (PBE-GGA) data for TbSm2Pb7 after structural relaxation, as listed in OQMD via LeMat-Bulk.

It has space group Cmmm (No. 65), with a = 4.5770 Å, b = 27.2758 Å, c = 4.6425 Å, α = 90.00°, β = 90.00° and γ = 90.00°. The inequivalent atoms are Tb at (0.0000, 0.0000, 0.0000), Sm at (0.0000, 0.3100, 0.5000), Pb at (0.0000, 0.0958, 0.5000), Pb at (0.0000, 0.2093, 0.0000), Pb at (0.0000, 0.4039, 0.0000) and Pb at (0.0000, 0.5000, 0.5000).

The calculation puts the volume at 579.6 Å³ per cell. The value obtained for the total magnetization is 0.00 μB per cell. Its total energy is -4.38 eV per atom.

No. 7
First-principles (PBE-GGA) data for Hf3C2S after structural relaxation, as listed in OQMD via LeMat-Bulk.

It has space group P6_3/mmc (No. 194), with a = 3.3603 Å, b = 3.3603 Å, c = 17.3815 Å, α = 90.00°, β = 90.00° and γ = 120.00°. The inequivalent atoms are Hf at (0.0000, 0.0000, 0.0000), Hf at (0.3333, 0.6667, 0.1440), C at (0.3333, 0.6667, 0.5788) and S at (0.0000, 0.0000, 0.2500).

The calculation puts the volume at 170.0 Å³ per cell. The value obtained for the total magnetization is 0.00 μB per cell. Its total energy is -9.96 eV per atom.

No. 8
First-principles (PBE-GGA) data for Fe2NiSn after structural relaxation, as listed in OQMD via LeMat-Bulk.

It has space group F-43m (No. 216), with a = 5.8927 Å, b = 5.8927 Å, c = 5.8927 Å, α = 90.00°, β = 90.00° and γ = 90.00°. The inequivalent atoms are Fe at (0.0000, 0.0000, 0.0000), Fe at (0.2500, 0.2500, 0.2500), Ni at (0.2500, 0.2500, 0.7500) and Sn at (0.0000, 0.0000, 0.5000).

The calculation puts the volume at 204.6 Å³ per cell. The value obtained for the total magnetization is 20.09 μB per cell. Its total energy is -6.53 eV per atom.

No. 9
First-principles (PBE-GGA) data for SmGaRe after structural relaxation, as listed in OQMD via LeMat-Bulk.

It has space group F-43m (No. 216), with a = 6.6726 Å, b = 6.6726 Å, c = 6.6726 Å, α = 90.00°, β = 90.00° and γ = 90.00°. The inequivalent atoms are Sm at (0.0000, 0.0000, 0.0000), Ga at (0.2500, 0.2500, 0.7500) and Re at (0.2500, 0.2500, 0.2500).

The calculation puts the volume at 297.1 Å³ per cell. Its offset from the most stable computed form is 800.8 meV/atom. The value obtained for the total magnetization is 4.01 μB per cell. Its total energy is -5.49 eV per atom.

No. 10
First-principles (PBE-GGA) data for GdEr2NiGe3Ir2 after structural relaxation, as listed in OQMD via LeMat-Bulk.

It has space group Amm2 (No. 38), with a = 3.8527 Å, b = 12.2904 Å, c = 7.0319 Å, α = 90.00°, β = 90.00° and γ = 90.00°. The inequivalent atoms are Gd at (0.0000, 0.0000, 0.0000), Er at (0.0000, 0.2003, 0.3971), Ni at (0.0000, 0.0000, 0.5936), Ge at (0.5000, 0.0000, 0.3482), Ge at (0.5000, 0.1251, 0.7211) and Ir at (0.5000, 0.1696, 0.0979).

The calculation puts the volume at 333.0 Å³ per cell. The value obtained for the total magnetization is 0.00 μB per cell. Its total energy is -6.46 eV per atom.

No. 11
First-principles (PBE-GGA) data for ZnCoAgHg after structural relaxation, as listed in OQMD via LeMat-Bulk.

It has space group F-43m (No. 216), with a = 6.3626 Å, b = 6.3626 Å, c = 6.3626 Å, α = 90.00°, β = 90.00° and γ = 90.00°. The inequivalent atoms are Zn at (0.0000, 0.0000, 0.0000), Co at (0.2500, 0.2500, 0.2500), Ag at (0.2500, 0.2500, 0.7500) and Hg at (0.0000, 0.0000, 0.5000).

The calculation puts the volume at 257.6 Å³ per cell. Its offset from the most stable computed form is 0.0 meV/atom. As for the formation energy: 27.4 kJ/mol of atoms. The value obtained for the total magnetization is 3.89 μB per cell. Its total energy is -2.59 eV per atom.

No. 12
First-principles (PBE-GGA) data for Ga2AgI4Br4 after structural relaxation, as listed in OQMD via LeMat-Bulk.

It has space group C2/m (No. 12), with a = 13.7023 Å, b = 8.9990 Å, c = 7.7070 Å, α = 90.00°, β = 93.83° and γ = 90.00°. The inequivalent atoms are Ga at (0.2142, 0.0000, 0.3350), Ag at (0.0000, 0.0000, 0.0000), I at (0.1219, 0.2178, 0.1629), Br at (0.1191, 0.5000, 0.6973) and Br at (0.1761, 0.0000, 0.6254).

The calculation puts the volume at 948.2 Å³ per cell. Its total energy is -2.51 eV per atom.